The following is a DFT calculation (PBE-GGA) of LiRe2Br after structural relaxation.

Unit cell a=4.4426 b=4.4426 c=4.4426 alpha=60.00 beta=60.00 gamma=60.00
Closest atoms and distances in Å follow each position.
Fractional positions:
Li 0.0000 0.0000 0.0000  4 Re 2.72, 4 Br 2.72
Re 0.2500 0.2500 0.2500  4 Re 2.72, 4 Li 2.72
Re 0.5000 0.5000 0.5000  4 Br 2.72, 4 Re 2.72
Br 0.7500 0.7500 0.7500  4 Re 2.72, 4 Li 2.72

## Properties
space-group type: F-43m (216)
energy: -6.231 eV per atom
N(E_F): 2.917 states/eV per cell
polymorph energy (0 for the lowest one): 0.732 eV per atom

=====

The following is a DFT calculation (PBE-GGA) of La6HoTm5 after structural relaxation.

Unit cell a=6.1179 b=7.4407 c=8.8778 alpha=90.00 beta=94.01 gamma=90.00
Closest atoms and distances in Å follow each position.
Fractional positions:
La 0.0000 0.2504 0.0000  6 Tm 3.58, 2 Ho 3.58, 4 La 3.71-3.73
La 0.0000 0.7496 0.0000  6 Tm 3.58, 2 Ho 3.58, 4 La 3.71-3.73
La 0.3331 0.2503 0.6662  7 Tm 3.58, 1 Ho 3.59, 4 La 3.71-3.73
La 0.3331 0.7497 0.6662  7 Tm 3.58, 1 Ho 3.59, 4 La 3.71-3.73
La 0.6669 0.2503 0.3338  7 Tm 3.58, 1 Ho 3.59, 4 La 3.71-3.73
La 0.6669 0.7497 0.3338  7 Tm 3.58, 1 Ho 3.59, 4 La 3.71-3.73
Ho 0.5000 0.0000 0.0000  8 La 3.58-3.59, 4 Tm 3.71-3.72
Tm 0.1665 0.0000 0.3334  8 La 3.58, 3 Tm 3.71-3.72, 1 Ho 3.71
Tm 0.1669 0.5000 0.3332  8 La 3.58, 4 Tm 3.71-3.72
Tm 0.5000 0.5000 0.0000  8 La 3.58, 2 Tm 3.71, 2 Ho 3.72
Tm 0.8335 0.0000 0.6666  8 La 3.58, 3 Tm 3.71-3.72, 1 Ho 3.71
Tm 0.8331 0.5000 0.6668  8 La 3.58, 4 Tm 3.71-3.72

## Properties
formation enthalpy at 0 K: 26 meV/atom
space-group type: P2/m (10)
energy: -4.682 eV per atom
N(E_F): 18.403 states/eV per cell

=====

The following is a DFT calculation (PBE-GGA) of Cs2GeBi after structural relaxation.

Unit cell a=6.4025 b=6.4025 c=6.4025 alpha=60.00 beta=60.00 gamma=60.00
Closest atoms and distances in Å follow each position.
Fractional positions:
Cs 0.2500 0.2500 0.2500  4 Bi 3.92, 4 Ge 3.92
Cs 0.7500 0.7500 0.7500  4 Ge 3.92, 4 Bi 3.92
Ge 0.0000 0.0000 0.0000  8 Cs 3.92
Bi 0.5000 0.5000 0.5000  8 Cs 3.92

## Properties
formation enthalpy at 0 K: 268 meV/atom
space-group type: Fm-3m (225)
energy: -2.284 eV per atom
N(E_F): 2.454 states/eV per cell
polymorph energy (0 for the lowest one): 0.364 eV per atom

=====

The following is a DFT calculation (PBE-GGA) of MnAg3 after structural relaxation.

Unit cell a=2.9311 b=2.9311 c=9.3574 alpha=90.00 beta=90.00 gamma=120.00
Closest atoms and distances in Å follow each position.
Fractional positions:
Mn 0.0000 0.0000 0.0000  6 Ag 2.82, 6 Mn 2.93
Ag 0.0000 0.0000 0.5000  12 Ag 2.93-2.95
Ag 0.6667 0.3333 0.2413  3 Mn 2.82, 9 Ag 2.93-2.95
Ag 0.6667 0.3333 0.7587  3 Mn 2.82, 9 Ag 2.93-2.95

## Properties
formation enthalpy at 0 K: 209 meV/atom
space-group type: P-6m2 (187)
energy: -4.221 eV per atom
N(E_F): 2.525 states/eV per cell

=====

The following is a DFT calculation (PBE-GGA) of In2Hg5Pb3 after structural relaxation.

Unit cell a=5.7798 b=6.2017 c=9.0604 alpha=72.19 beta=89.11 gamma=66.33
Closest atoms and distances in Å follow each position.
Fractional positions:
In 0.0997 0.3062 0.2012  4 Hg 3.13-3.24, 4 Pb 3.29-3.51
In 0.9003 0.6938 0.7988  4 Hg 3.13-3.24, 4 Pb 3.29-3.51
Hg 0.0000 0.5000 0.5000  2 Pb 3.20, 2 In 3.24, 4 Hg 3.34-3.48
Hg 0.1937 0.1120 0.9094  2 In 3.13-3.18, 3 Hg 3.26-3.46, 2 Pb 3.31-3.33
Hg 0.3999 0.7108 0.3012  1 In 3.21, 3 Pb 3.29-3.33, 5 Hg 3.32-3.54
Hg 0.6001 0.2892 0.6988  1 In 3.21, 3 Pb 3.29-3.33, 5 Hg 3.32-3.54
Hg 0.8063 0.8880 0.0906  2 In 3.13-3.18, 3 Hg 3.26-3.46, 2 Pb 3.31-3.33
Pb 0.2932 0.9057 0.6050  4 Hg 3.20-3.33, 2 In 3.29-3.49, 3 Pb 3.38-3.57
Pb 0.5000 0.5000 0.0000  4 In 3.30-3.51, 4 Hg 3.31-3.32, 2 Pb 3.57
Pb 0.7068 0.0943 0.3950  4 Hg 3.20-3.33, 2 In 3.29-3.49, 3 Pb 3.38-3.57

## Properties
formation enthalpy at 0 K: 25 meV/atom
space-group type: P-1 (2)
energy: -1.786 eV per atom
N(E_F): 4.005 states/eV per cell

=====

The following is a DFT calculation (PBE-GGA) of PuThSc2 after structural relaxation.

Unit cell a=11.1425 b=11.1425 c=11.1425 alpha=17.32 beta=17.32 gamma=17.32
Closest atoms and distances in Å follow each position.
Fractional positions:
Pu 0.0000 0.0000 0.0000  6 Sc 3.29, 6 Pu 3.35
Th 0.8335 0.8335 0.8335  6 Th 3.35, 6 Sc 3.43-3.44
Sc 0.4140 0.4140 0.4140  3 Pu 3.29, 6 Sc 3.35, 3 Th 3.44
Sc 0.5860 0.5860 0.5860  3 Pu 3.29, 6 Sc 3.35, 3 Th 3.43

## Properties
formation enthalpy at 0 K: 109 meV/atom
space-group type: R3m (160)
energy: -8.494 eV per atom
N(E_F): 10.778 states/eV per cell
polymorph energy (0 for the lowest one): 0.010 eV per atom

=====

The following is a DFT calculation (PBE-GGA) of In2RuSe after structural relaxation.

Unit cell a=3.7383 b=3.7383 c=6.0939 alpha=90.00 beta=90.00 gamma=90.00
Closest atoms and distances in Å follow each position.
Fractional positions:
In 0.0000 0.0000 0.0000  1 Ru 2.71, 4 Se 2.90
In 0.5000 0.5000 0.3320  4 Ru 2.73, 1 Se 2.88
Ru 0.0000 0.0000 0.4440  5 In 2.71-2.73
Se 0.5000 0.5000 0.8039  6 In 2.88-3.22

## Properties
space-group type: P4mm (99)
energy: -4.379 eV per atom
N(E_F): 2.513 states/eV per cell

=====

The following is a DFT calculation (PBE-GGA) of TaMn2Be after structural relaxation.

Unit cell a=4.2991 b=4.2991 c=2.9677 alpha=90.14 beta=90.14 gamma=64.27
Closest atoms and distances in Å follow each position.
Fractional positions:
Ta 0.0000 0.0000 0.0000  2 Be 2.29
Mn 0.3002 0.3002 0.4982  2 Be 2.08
Mn 0.6998 0.6998 0.5018  2 Be 2.08
Be 0.5000 0.5000 0.0000  4 Mn 2.08, 2 Ta 2.29

## Properties
formation enthalpy at 0 K: 419 meV/atom
space-group type: C2/m (12)
energy: -8.061 eV per atom
N(E_F): 4.304 states/eV per cell

=====

The following is a DFT calculation (PBE-GGA) of TaV12Mo6 after structural relaxation.

Unit cell a=7.9168 b=7.9168 c=5.9198 alpha=93.04 beta=93.04 gamma=129.66
Closest atoms and distances in Å follow each position.
Fractional positions:
Ta 0.0000 0.0000 0.0000  2 Mo 2.61, 2 V 2.84
V 0.0696 0.9304 0.5000  1 V 2.00
V 0.1795 0.4894 0.0730  3 Mo 2.46-2.67, 2 V 2.49-2.71
V 0.1888 0.5077 0.5719  1 V 2.31, 1 Mo 2.56
V 0.3395 0.3395 0.3374  1 Mo 2.49, 7 V 2.67-2.77
V 0.4894 0.1795 0.0730  3 Mo 2.46-2.67, 2 V 2.49-2.71
V 0.4923 0.8112 0.4281  1 V 2.31, 1 Mo 2.56
V 0.5077 0.1888 0.5719  1 V 2.31, 1 Mo 2.56
V 0.5106 0.8205 0.9270  3 Mo 2.46-2.67, 2 V 2.49-2.71
V 0.6605 0.6605 0.6626  1 Mo 2.49, 7 V 2.67-2.77
V 0.8112 0.4923 0.4281  1 V 2.31, 1 Mo 2.56
V 0.8205 0.5106 0.9270  3 Mo 2.46-2.67, 2 V 2.49-2.71
V 0.9304 0.0696 0.5000  1 V 2.00
Mo 0.1741 0.7780 0.2349  5 V 2.41-2.67
Mo 0.2220 0.8259 0.7651  5 V 2.41-2.67
Mo 0.3372 0.3372 0.8257  5 V 2.49-2.74, 1 Ta 2.61
Mo 0.6628 0.6628 0.1743  5 V 2.49-2.74, 1 Ta 2.61
Mo 0.7780 0.1741 0.2349  5 V 2.41-2.67
Mo 0.8259 0.2220 0.7651  5 V 2.41-2.67

## Properties
formation enthalpy at 0 K: 211 meV/atom
space-group type: C2/m (12)
energy: -9.593 eV per atom
N(E_F): 19.099 states/eV per cell

=====

The following is a DFT calculation (PBE-GGA) of Hf3Zr6Sc after structural relaxation.

Unit cell a=9.7160 b=9.7160 c=5.5961 alpha=90.00 beta=90.00 gamma=118.00
Closest atoms and distances in Å follow each position.
Fractional positions:
Hf 0.1210 0.8790 0.5000  8 Zr 3.18-3.38, 2 Hf 3.22, 1 Sc 3.23
Hf 0.2090 0.4207 0.1079  6 Zr 2.90-3.10, 1 Sc 3.06, 1 Hf 3.22
Hf 0.4207 0.2090 0.6079  6 Zr 2.90-3.10, 1 Sc 3.06, 1 Hf 3.22
Hf 0.5793 0.7910 0.1079  6 Zr 2.90-3.10, 1 Sc 3.06, 1 Hf 3.22
Hf 0.7910 0.5793 0.6079  6 Zr 2.90-3.10, 1 Sc 3.06, 1 Hf 3.22
Hf 0.8790 0.1210 0.0000  8 Zr 3.18-3.38, 2 Hf 3.22, 1 Sc 3.23
Zr 0.0318 0.4746 0.7350  5 Zr 2.88-3.13, 2 Hf 2.90-3.04, 1 Sc 2.94
Zr 0.1147 0.2154 0.5633  4 Hf 3.01-3.32, 5 Zr 3.13-3.30
Zr 0.2154 0.1147 0.0633  4 Hf 3.01-3.32, 5 Zr 3.13-3.30
Zr 0.2173 0.7827 0.9898  4 Zr 2.88-3.03, 1 Sc 3.15, 1 Hf 3.18
Zr 0.4692 0.5308 0.7311  1 Sc 2.96, 2 Zr 2.98, 4 Hf 3.02-3.07
Zr 0.4746 0.0318 0.2350  5 Zr 2.88-3.13, 2 Hf 2.90-3.04, 1 Sc 2.94
Zr 0.5254 0.9682 0.7350  5 Zr 2.88-3.13, 2 Hf 2.90-3.04, 1 Sc 2.94
Zr 0.5308 0.4692 0.2311  1 Sc 2.96, 2 Zr 2.98, 4 Hf 3.02-3.07
Zr 0.7827 0.2173 0.4898  4 Zr 2.88-3.03, 1 Sc 3.15, 1 Hf 3.18
Zr 0.7846 0.8853 0.5633  4 Hf 3.01-3.32, 5 Zr 3.13-3.30
Zr 0.8853 0.7846 0.0633  4 Hf 3.01-3.32, 5 Zr 3.13-3.30
Zr 0.9682 0.5254 0.2350  5 Zr 2.88-3.13, 2 Hf 2.90-3.04, 1 Sc 2.94
Sc 0.3145 0.6855 0.4724  6 Zr 2.94-3.25, 3 Hf 3.06-3.23
Sc 0.6855 0.3145 0.9724  6 Zr 2.94-3.25, 3 Hf 3.06-3.23

## Properties
formation enthalpy at 0 K: 155 meV/atom
space-group type: Cmc2_1 (36)
energy: -8.594 eV per atom
N(E_F): 22.753 states/eV per cell
polymorph energy (0 for the lowest one): 0.123 eV per atom

=====

The following is a DFT calculation (PBE-GGA) of MgTaH after structural relaxation.

Unit cell a=2.8887 b=2.8887 c=4.8414 alpha=90.00 beta=90.00 gamma=90.00
Closest atoms and distances in Å follow each position.
Fractional positions:
Mg 0.0000 0.0000 0.0000  1 H 2.27
Ta 0.5000 0.5000 0.5037  4 H 2.05
H 0.0000 0.0000 0.4698  4 Ta 2.05, 1 Mg 2.27

## Properties
space-group type: P4mm (99)
energy: -5.515 eV per atom
N(E_F): 0.802 states/eV per cell
polymorph energy (0 for the lowest one): 0.142 eV per atom

=====

The following is a DFT calculation (PBE-GGA) of Ti4Al2Ge after structural relaxation.

Unit cell a=4.8617 b=5.3038 c=9.1507 alpha=90.00 beta=100.27 gamma=90.00
Closest atoms and distances in Å follow each position.
Fractional positions:
Ti 0.1399 0.2500 0.1126  3 Al 2.59-2.81, 3 Ge 2.63-2.73
Ti 0.2486 0.7500 0.4457  1 Ge 2.49, 4 Al 2.66-2.70
Ti 0.3347 0.5048 0.7246  3 Ti 2.60-2.83, 1 Ge 2.74, 1 Al 2.79
Ti 0.3347 0.9952 0.7246  3 Ti 2.60-2.83, 1 Ge 2.74, 1 Al 2.79
Ti 0.6653 0.0048 0.2754  3 Ti 2.60-2.83, 1 Ge 2.74, 1 Al 2.79
Ti 0.6653 0.4952 0.2754  3 Ti 2.60-2.83, 1 Ge 2.74, 1 Al 2.79
Ti 0.7514 0.2500 0.5543  1 Ge 2.49, 4 Al 2.66-2.70
Ti 0.8601 0.7500 0.8874  3 Al 2.59-2.81, 3 Ge 2.63-2.73
Al 0.2075 0.2500 0.4237  5 Ti 2.66-2.81
Al 0.4046 0.7500 0.9980  1 Ge 2.43, 2 Ti 2.59-2.66
Al 0.5954 0.2500 0.0020  1 Ge 2.43, 2 Ti 2.59-2.66
Al 0.7925 0.7500 0.5763  5 Ti 2.66-2.81
Ge 0.0807 0.7500 0.1720  1 Al 2.43, 2 Ti 2.49-2.63
Ge 0.9193 0.2500 0.8280  1 Al 2.43, 2 Ti 2.49-2.63

## Properties
formation enthalpy at 0 K: -327 meV/atom
space-group type: P2_1/m (11)
energy: -6.567 eV per atom
N(E_F): 10.898 states/eV per cell